{
  "formula": "K2CdP2O7",
  "functional": "GGA-PBE",
  "state": "relaxed",
  "dos_ef_per_ev_fu": 0.0,
  "rho_g_cm3": 3.47,
  "formation_energy_uncorrected_kj_per_mol_atoms": -205,
  "e_tot_ev_per_atom": -6.175,
  "total_magnetization_mub_per_cell": 0.000,
  "cell": [[4.945, -2.828, 0.000], [4.945, 2.828, 0.000], [-3.743, 0.000, 12.475]],
  "species": ["K", "K", "K", "K", "Cd", "Cd", "P", "P", "P", "P", "O", "O", "O", "O", "O", "O", "O", "O", "O", "O", "O", "O", "O", "O"],
  "fractional_positions": [[0.060, 0.643, 0.834], [0.357, 0.940, 0.666], [0.643, 0.060, 0.334], [0.940, 0.357, 0.166], [0.000, 0.500, 0.500], [0.500, 0.000, 0.000], [0.256, 0.691, 0.130], [0.309, 0.744, 0.370], [0.691, 0.256, 0.630], [0.744, 0.309, 0.870], [0.015, 0.206, 0.945], [0.159, 0.841, 0.250], [0.197, 0.554, 0.378], [0.206, 0.015, 0.445], [0.379, 0.413, 0.633], [0.413, 0.379, 0.133], [0.446, 0.803, 0.122], [0.554, 0.197, 0.878], [0.587, 0.621, 0.867], [0.621, 0.587, 0.367], [0.794, 0.985, 0.555], [0.803, 0.446, 0.622], [0.841, 0.159, 0.750], [0.985, 0.794, 0.055]]
}



{
  "formula": "KCdP3O9",
  "functional": "GGA-PBE",
  "state": "relaxed",
  "dos_ef_per_ev_fu": 0.0,
  "rho_g_cm3": 3.04,
  "formation_energy_uncorrected_kj_per_mol_atoms": -202,
  "e_tot_ev_per_atom": -6.587,
  "total_magnetization_mub_per_cell": 0.000,
  "cell": [[6.904, 0.000, 0.000], [-3.452, 5.979, 0.000], [0.000, 0.000, 10.273]],
  "species": ["K", "K", "Cd", "Cd", "P", "P", "P", "P", "P", "P", "O", "O", "O", "O", "O", "O", "O", "O", "O", "O", "O", "O", "O", "O", "O", "O", "O", "O"],
  "fractional_positions": [[0.000, 0.000, 0.000], [0.000, 0.000, 0.500], [0.667, 0.333, 0.000], [0.667, 0.333, 0.500], [0.064, 0.439, 0.250], [0.064, 0.625, 0.750], [0.375, 0.439, 0.750], [0.375, 0.936, 0.250], [0.561, 0.625, 0.250], [0.561, 0.936, 0.750], [0.141, 0.439, 0.750], [0.141, 0.702, 0.250], [0.298, 0.439, 0.250], [0.298, 0.859, 0.750], [0.387, 0.053, 0.124], [0.387, 0.053, 0.376], [0.387, 0.334, 0.624], [0.387, 0.334, 0.876], [0.561, 0.702, 0.750], [0.561, 0.859, 0.250], [0.666, 0.053, 0.624], [0.666, 0.053, 0.876], [0.666, 0.613, 0.124], [0.666, 0.613, 0.376], [0.947, 0.334, 0.124], [0.947, 0.334, 0.376], [0.947, 0.613, 0.624], [0.947, 0.613, 0.876]]
}



{
  "formula": "K3CdP2O8",
  "functional": "GGA-PBE",
  "state": "relaxed",
  "dos_ef_per_ev_fu": 7.9,
  "rho_g_cm3": 3.22,
  "formation_energy_uncorrected_kj_per_mol_atoms": -193,
  "e_tot_ev_per_atom": -5.906,
  "total_magnetization_mub_per_cell": 1.079,
  "cell": [[5.735, 0.000, 0.000], [-2.867, 4.966, 0.000], [0.000, 0.000, 7.606]],
  "species": ["K", "K", "K", "Cd", "P", "P", "O", "O", "O", "O", "O", "O", "O", "O"],
  "fractional_positions": [[0.000, 0.000, 0.000], [0.333, 0.667, 0.701], [0.667, 0.333, 0.299], [0.000, 0.000, 0.500], [0.333, 0.667, 0.250], [0.667, 0.333, 0.750], [0.185, 0.370, 0.315], [0.185, 0.815, 0.315], [0.333, 0.667, 0.047], [0.370, 0.185, 0.685], [0.630, 0.815, 0.315], [0.667, 0.333, 0.953], [0.815, 0.185, 0.685], [0.815, 0.630, 0.685]]
}



{
  "formula": "KCdPO2",
  "functional": "GGA-PBE",
  "state": "relaxed",
  "dos_ef_per_ev_fu": 3.2,
  "rho_g_cm3": 3.42,
  "formation_energy_uncorrected_kj_per_mol_atoms": 15,
  "e_tot_ev_per_atom": -3.317,
  "total_magnetization_mub_per_cell": 3.433,
  "cell": [[4.524, 0.000, 0.000], [0.000, 4.524, 0.000], [0.000, 0.000, 5.087]],
  "species": ["K", "Cd", "P", "O", "O"],
  "fractional_positions": [[0.000, 0.000, 0.000], [0.500, 0.500, 0.500], [0.500, 0.500, 0.000], [0.000, 0.500, 0.500], [0.500, 0.000, 0.500]]
}



{
  "formula": "KPaCd2O6",
  "functional": "GGA-PBE",
  "state": "relaxed",
  "dos_ef_per_ev_fu": 5.9,
  "rho_g_cm3": 6.11,
  "formation_energy_uncorrected_kj_per_mol_atoms": -165,
  "e_tot_ev_per_atom": -5.926,
  "total_magnetization_mub_per_cell": 0.000,
  "cell": [[6.107, -3.968, 0.000], [6.107, 3.968, 0.000], [-3.563, 0.000, 6.624]],
  "species": ["K", "K", "Pa", "Pa", "Cd", "Cd", "Cd", "Cd", "O", "O", "O", "O", "O", "O", "O", "O", "O", "O", "O", "O"],
  "fractional_positions": [[0.221, 0.779, 0.750], [0.779, 0.221, 0.250], [0.266, 0.734, 0.250], [0.734, 0.266, 0.750], [0.252, 0.260, 0.243], [0.260, 0.252, 0.743], [0.740, 0.748, 0.257], [0.748, 0.740, 0.757], [0.006, 0.188, 0.970], [0.082, 0.599, 0.332], [0.188, 0.006, 0.470], [0.349, 0.423, 0.064], [0.401, 0.918, 0.168], [0.423, 0.349, 0.564], [0.577, 0.651, 0.436], [0.599, 0.082, 0.832], [0.651, 0.577, 0.936], [0.812, 0.994, 0.530], [0.918, 0.401, 0.668], [0.994, 0.812, 0.030]]
}



{
  "formula": "KPa2Cd2O7",
  "functional": "GGA-PBE",
  "state": "relaxed",
  "dos_ef_per_ev_fu": 1.7,
  "rho_g_cm3": 6.73,
  "formation_energy_uncorrected_kj_per_mol_atoms": -245,
  "e_tot_ev_per_atom": -7.258,
  "total_magnetization_mub_per_cell": 0.000,
  "cell": [[-2.175, 2.177, 10.923], [2.175, -2.177, 10.923], [2.175, 2.177, -10.923]],
  "species": ["K", "Pa", "Pa", "Cd", "Cd", "O", "O", "O", "O", "O", "O", "O"],
  "fractional_positions": [[0.000, 0.000, 0.000], [0.400, 0.400, 0.000], [0.600, 0.600, 0.000], [0.250, 0.750, 0.500], [0.750, 0.250, 0.500], [0.098, 0.598, 0.500], [0.293, 0.293, 0.000], [0.402, 0.902, 0.500], [0.500, 0.500, 0.000], [0.598, 0.098, 0.500], [0.707, 0.707, 0.000], [0.902, 0.402, 0.500]]
}



{
  "formula": "K2PaCdO6",
  "functional": "GGA-PBE",
  "state": "relaxed",
  "dos_ef_per_ev_fu": 5.5,
  "rho_g_cm3": 5.38,
  "formation_energy_uncorrected_kj_per_mol_atoms": -175,
  "e_tot_ev_per_atom": -6.047,
  "total_magnetization_mub_per_cell": 0.000,
  "cell": [[4.304, -4.302, 0.000], [4.304, 4.302, 0.000], [-4.297, 0.000, 4.314]],
  "species": ["K", "K", "Pa", "Cd", "O", "O", "O", "O", "O", "O"],
  "fractional_positions": [[0.250, 0.750, 0.000], [0.750, 0.250, 0.000], [0.000, 0.000, 0.500], [0.500, 0.500, 0.500], [0.241, 0.241, 0.501], [0.241, 0.241, 0.980], [0.242, 0.758, 0.500], [0.758, 0.242, 0.500], [0.759, 0.759, 0.020], [0.759, 0.759, 0.499]]
}



{
  "formula": "K3PaCd2O6",
  "functional": "GGA-PBE",
  "state": "relaxed",
  "rho_g_cm3": 4.21,
  "formation_energy_uncorrected_kj_per_mol_atoms": -178,
  "e_tot_ev_per_atom": -5.542,
  "total_magnetization_mub_per_cell": 0.000,
  "cell": [[6.528, 0.000, 0.000], [-3.264, 5.653, 0.000], [0.000, 0.000, 7.151]],
  "species": ["K", "K", "K", "Pa", "Cd", "Cd", "O", "O", "O", "O", "O", "O"],
  "fractional_positions": [[0.000, 0.000, 0.000], [0.333, 0.667, 0.699], [0.667, 0.333, 0.301], [0.000, 0.000, 0.500], [0.333, 0.667, 0.257], [0.667, 0.333, 0.743], [0.151, 0.302, 0.309], [0.151, 0.849, 0.309], [0.302, 0.151, 0.691], [0.698, 0.849, 0.309], [0.849, 0.151, 0.691], [0.849, 0.698, 0.691]]
}